Record 1
# ZnTc3Sn | the Alexandria database | PBE | optimized geometry
data_ZnTc3Sn
_space_group_name_H-M_alt 'P m -3 m'
_space_group_IT_number 221
_space_group_name_Hall '-P 4 2 3'
_cell_length_a 4.5581
_cell_length_b 4.5581
_cell_length_c 4.5581
_cell_angle_alpha 90.00
_cell_angle_beta 90.00
_cell_angle_gamma 90.00
loop_
_atom_site_label
_atom_site_type_symbol
_atom_site_fract_x
_atom_site_fract_y
_atom_site_fract_z
Zn1 Zn 0.0000 0.0000 0.0000
Tc1 Tc 0.0000 0.0000 0.5000
Sn1 Sn 0.5000 0.5000 0.5000
# **Relative energy among the computed polymorphs**: 0.000 eV per atom


Record 2
# Zn2TcSn | the Alexandria database | PBE | optimized geometry
data_Zn2TcSn
_space_group_name_H-M_alt 'I -4 2 d'
_space_group_IT_number 122
_space_group_name_Hall 'I -4 2bw'
_cell_length_a 7.4781
_cell_length_b 7.4781
_cell_length_c 5.3186
_cell_angle_alpha 90.00
_cell_angle_beta 90.00
_cell_angle_gamma 90.00
loop_
_atom_site_label
_atom_site_type_symbol
_atom_site_fract_x
_atom_site_fract_y
_atom_site_fract_z
Zn1 Zn 0.2224 0.2500 0.1250
Tc1 Tc 0.0000 0.0000 0.0000
Sn1 Sn 0.0000 0.0000 0.5000
# **Uncorrected energy**: -0.1393 Ha/atom